A plane-wave DFT calculation with PBE with a Hubbard U was carried out for crystalline MnPO4 at its relaxed geometry.

Unit cell a=4.8176 b=6.6626 c=8.6177 alpha=90.00 beta=90.00 gamma=90.00
Element x y z (fractional)
O 0.9325 0.7500 0.8626
P 0.5387 0.7500 0.1780
Mn 0.5000 0.5000 0.5000
P 0.4613 0.2500 0.8220
Mn 0.5000 0.0000 0.5000
O 0.3140 0.4433 0.8754
P 0.9613 0.7500 0.6780
P 0.0387 0.2500 0.3220
Mn 0.0000 0.0000 0.0000
O 0.2647 0.7500 0.6234
Mn 0.0000 0.5000 0.0000
O 0.1860 0.4433 0.3754
O 0.0675 0.2500 0.1374
O 0.2353 0.7500 0.1234
O 0.6860 0.9433 0.1246
O 0.1860 0.0567 0.3754
O 0.8140 0.5567 0.6246
O 0.7353 0.2500 0.3766
O 0.5675 0.7500 0.3626
O 0.4325 0.2500 0.6374
O 0.3140 0.0567 0.8754
O 0.6860 0.5567 0.1246
O 0.7647 0.2500 0.8766
O 0.8140 0.9433 0.6246

Output
theoretical density = 3.60 g cm⁻³
space group = No. 62
VASP energy = -7.4267 eV/atom